1.
DFT (PBE) results for crystalline VGa3 at its relaxed geometry.

Lattice parameters (Å, degrees): 2.901 8.983 4.715 90.00 90.00 90.00
Space group Imm2 (No. 44)
Inequivalent atoms, fractional coordinates:
V: 0.000 0.000 0.000 (multiplicity 2)
Ga: 0.000 0.261 0.677 (multiplicity 4)
Ga: 0.000 0.500 0.023 (multiplicity 2)

The calculation puts the total magnetization at 0.088 μB per atom. For the total energy, the calculation gives -4.631 eV/atom. The calculation puts the formation enthalpy at 0 K at -0.081 eV/atom.

2.
DFT (PBE) results for crystalline V8Ga41 at its relaxed geometry.

Lattice parameters (Å, degrees): 13.9852 13.9852 14.9388 90.00 90.00 120.00
Space group R-3 (No. 148, hexagonal axes)
Inequivalent atoms, fractional coordinates:
V: 0.0000 0.0000 0.1862 (multiplicity 6)
V: 0.0142 0.7044 0.5988 (multiplicity 18)
Ga: 0.0000 0.0000 0.0000 (multiplicity 3)
Ga: 0.0000 0.0000 0.5000 (multiplicity 3)
Ga: 0.0000 0.5000 0.0000 (multiplicity 9)
Ga: 0.0007 0.1829 0.7845 (multiplicity 18)
Ga: 0.0078 0.8844 0.6648 (multiplicity 18)
Ga: 0.0093 0.6894 0.7672 (multiplicity 18)
Ga: 0.0128 0.1696 0.1139 (multiplicity 18)
Ga: 0.0142 0.5303 0.6606 (multiplicity 18)
Ga: 0.0904 0.5353 0.1701 (multiplicity 18)

The calculation puts the total magnetization at 0.000 μB per atom. For the total energy, the calculation gives -4.203 eV/atom. The calculation puts the formation enthalpy at 0 K at -0.181 eV/atom.

3.
DFT (PBE) results for crystalline V2Ga5 at its relaxed geometry.

Lattice parameters (Å, degrees): 8.986 8.986 2.676 90.00 90.00 90.00
Space group P4/mbm (No. 127)
Inequivalent atoms, fractional coordinates:
V: 0.180 0.320 0.000 (multiplicity 4)
Ga: 0.000 0.500 0.500 (multiplicity 2)
Ga: 0.062 0.794 0.500 (multiplicity 8)

The calculation puts the total magnetization at 0.000 μB per atom. For the total energy, the calculation gives -4.999 eV/atom. The calculation puts the formation enthalpy at 0 K at -0.231 eV/atom.

4.
DFT (PBE) results for crystalline V8Ga at its relaxed geometry.

Lattice parameters (Å, degrees): 4.272 8.955 12.769 90.00 90.00 90.00
Space group Fmmm (No. 69)
Inequivalent atoms, fractional coordinates:
V: 0.000 0.000 0.163 (multiplicity 8)
V: 0.000 0.167 0.330 (multiplicity 16)
V: 0.000 0.177 0.000 (multiplicity 8)
Ga: 0.000 0.000 0.500 (multiplicity 4)

The calculation puts the total magnetization at 0.000 μB per atom. The value obtained for the relative energy among the computed polymorphs is 14.5 meV/atom. For the total energy, the calculation gives -8.496 eV/atom. The calculation puts the formation enthalpy at 0 K at -0.054 eV/atom.